[1]
! TaAl2Cu2 | Alexandria | GGA-PBE | optimized geometry; values from VASP
&SYSTEM
  ibrav = 0, nat = 10, ntyp = 3
/
ATOMIC_SPECIES
Al 26.98 Al.upf
Cu 63.55 Cu.upf
Ta 180.95 Ta.upf
ATOMIC_POSITIONS angstrom
Al -6.277 0.776 2.413
Al -5.462 4.611 3.019
Al -1.803 4.059 1.589
Al -2.618 0.224 0.983
Cu -4.188 -0.500 2.869
Cu -6.088 2.542 4.255
Cu -2.990 4.744 3.668
Cu -1.090 1.701 2.281
Ta 0.000 0.000 0.000
Ta -4.040 2.417 2.001
CELL_PARAMETERS angstrom
-1.385 6.789 2.078
-6.694 -1.955 1.924
0.901 -0.592 2.534
! energy relative to the lowest polymorph listed for this composition = 0.073 eV/atom
! uncorrected energy = -5.579 eV/atom
! magnetic moment = 0.47 μB per cell
! SG = P4/mbm (127)
! DFT formation energy = -0.073 eV per atom

[2]
! TaAl2Cu | Alexandria | GGA-PBE | optimized geometry; values from VASP
&SYSTEM
  ibrav = 0, nat = 4, ntyp = 3
/
ATOMIC_SPECIES
Al 26.98 Al.upf
Cu 63.55 Cu.upf
Ta 180.95 Ta.upf
ATOMIC_POSITIONS angstrom
Al 0.000 0.000 0.000
Al 1.513 2.360 -0.489
Cu 2.518 0.339 1.153
Ta -0.743 2.430 1.153
CELL_PARAMETERS angstrom
4.774 0.269 -0.489
-1.749 4.450 -0.489
0.263 0.410 2.795
! uncorrected energy = -6.030 eV/atom
! magnetic moment = 0.00 μB per cell
! SG = Cmmm (65)
! DFT formation energy = -0.172 eV per atom